5
Lattice="6.1283 0.0000 0.0000 0.0000 6.1283 0.0000 0.0000 0.0000 4.6351" Properties=species:S:1:pos:R:3 comment="Ba2FeAsRh GGA-PBE optimized geometry" volume_a3_per_atom=34.8 magnetic_moment_mub_per_fu=3.16 n_ef_per_ev_fu=4.36 delta_e_f_ev_per_atom=0.121 total_energy_ev_per_atom=-4.741 pbc="T T T"
Ba 0.0000 3.0642 0.0000
Ba 3.0642 0.0000 0.0000
Fe 0.0000 0.0000 2.3176
As 3.0642 3.0642 2.3176
Rh 3.0642 3.0642 0.0000


20
Lattice="5.4722 -4.2514 0.0000 5.4722 4.2514 0.0000 -3.5569 0.0000 6.0101" Properties=species:S:1:pos:R:3 comment="CaMgAs2O6 GGA-PBE optimized geometry" formation_energy_uncorrected_ev_per_fu=-18.35 volume_a3_per_atom=14.0 magnetic_moment_mub_per_fu=0.00 n_ef_per_ev_fu=2.68 total_energy_ev_per_atom=-6.099 pbc="T T T"
Ca 2.8045 2.7222 4.5076
Ca 4.5829 -2.7222 1.5025
Mg 4.5829 2.4251 1.5025
Mg 2.8045 -2.4251 4.5076
As 0.3753 0.3105 4.9138
As 2.1538 -0.3105 1.9087
As 5.2337 0.3105 4.1014
As 7.0121 -0.3105 1.0963
O -1.1608 0.6013 4.1224
O 0.9043 1.8023 5.6603
O 0.6177 -0.6013 1.1173
O 1.6648 0.6677 3.3537
O 4.7046 1.8023 3.3549
O 3.4433 -0.6677 0.3486
O 3.9442 0.6677 5.6615
O 2.6828 -1.8023 2.6552
O 5.7226 -0.6677 2.6564
O 6.7698 0.6013 4.8928
O 6.4831 -1.8023 0.3498
O 8.5482 -0.6013 1.8877


14
Lattice="-4.7160 4.7160 4.6506 4.7160 -4.7160 4.6506 4.7160 4.7160 -4.6506" Properties=species:S:1:pos:R:3 comment="Nd5HoIn8 GGA-PBE optimized geometry" volume_a3_per_atom=29.6 magnetic_moment_mub_per_fu=0.00 n_ef_per_ev_fu=12.87 delta_e_f_ev_per_atom=-0.374 total_energy_ev_per_atom=-3.969 pbc="T T T"
Nd 0.0000 0.0000 0.0000
Nd 2.3268 -1.1268 3.4626
Nd 3.5892 2.3891 1.1880
Nd 2.3891 5.8427 -1.1880
Nd 1.1268 2.3268 5.8385
Ho 0.0000 4.7160 2.3253
In 3.8985 3.0582 -1.9786
In 6.2684 0.7590 0.3018
In 0.7590 3.1636 -0.3018
In 0.8174 1.6577 2.6720
In 1.6577 -0.8174 6.6291
In 3.9570 1.5524 4.3488
In 3.0582 5.5334 1.9786
In -1.5524 3.9570 4.9523